1 | Density functional theory data (SCAN) for a crystal of ZrTl2Ir relaxed with PBEsol.

Structure (POSCAR):
```
ZrTl2Ir
1.0
4.2061 0.0000 0.0000
0.0000 4.2061 0.0000
0.0000 0.0000 4.4838
Zr Tl Ir
1 2 1
Direct
0.0000 0.0000 0.0000
0.0000 0.5000 0.5000
0.5000 0.0000 0.5000
0.5000 0.5000 0.0000
```

Computed properties:
Density of states at the Fermi level: 2.32 states/eV per cell
Magnetization: 0.00 μB/cell
Crystal system: tetragonal

=====

2 | Density functional theory data (SCAN) for a crystal of ZrTl2Ir relaxed with PBEsol.

Structure (POSCAR):
```
ZrTl2Ir
1.0
-2.3877 2.3877 3.3923
2.3877 -2.3877 3.3923
2.3877 2.3877 -3.3923
Zr Tl Ir
1 2 1
Direct
0.0000 0.0000 0.0000
0.2500 0.7500 0.5000
0.7500 0.2500 0.5000
0.5000 0.5000 0.0000
```

Computed properties:
Density of states at the Fermi level: 3.43 states/eV per cell
Magnetization: 0.00 μB/cell
Crystal system: tetragonal

=====

Quick one: least stable of them? 2

=====

1 | Density functional theory data (SCAN) for a crystal of TaCoMo relaxed with PBEsol.

Structure (POSCAR):
```
TaCoMo
1.0
-1.3462 1.3462 5.8779
1.3462 -1.3462 5.8779
1.3462 1.3462 -5.8779
Ta Co Mo
1 1 1
Direct
0.0000 0.0000 0.0000
0.6583 0.6583 0.0000
0.3038 0.3038 0.0000
```

Computed properties:
Density of states at the Fermi level: 2.96 states/eV per cell
Magnetization: 0.00 μB/cell
Crystal system: tetragonal

=====

2 | Density functional theory data (SCAN) for a crystal of TaCoMo relaxed with PBEsol.

Structure (POSCAR):
```
TaCoMo
1.0
-1.5726 1.5726 4.3952
1.5726 -1.5726 4.3952
1.5726 1.5726 -4.3952
Ta Co Mo
1 1 1
Direct
0.0000 0.0000 0.0000
0.6645 0.6645 0.0000
0.3215 0.3215 0.0000
```

Computed properties:
Density of states at the Fermi level: 1.87 states/eV per cell
Magnetization: 2.14 μB/cell
Crystal system: tetragonal

=====

Quick one: least stable of them? 1

=====

1 | Density functional theory data (SCAN) for a crystal of Mo2RuW relaxed with PBEsol.

Structure (POSCAR):
```
Mo2RuW
1.0
4.7515 0.0000 0.0000
0.0000 2.7867 0.0000
-1.5372 0.0000 4.5320
Mo Ru W
2 1 1
Direct
0.0000 0.0000 0.0000
0.5000 0.5000 0.0000
0.0000 0.5000 0.5000
0.5000 0.0000 0.5000
```

Computed properties:
Density of states at the Fermi level: 3.90 states/eV per cell
Magnetization: 0.00 μB/cell
Crystal system: monoclinic

=====

2 | Density functional theory data (SCAN) for a crystal of Mo2RuW relaxed with PBEsol.

Structure (POSCAR):
```
Mo2RuW
1.0
4.6728 -1.3753 0.0000
4.6728 1.3753 0.0000
-0.8202 0.0000 4.6721
Mo Ru W
2 1 1
Direct
0.2376 0.2376 0.2397
0.7624 0.7624 0.7603
0.5000 0.5000 0.0000
0.0000 0.0000 0.5000
```

Computed properties:
Density of states at the Fermi level: 3.16 states/eV per cell
Magnetization: 0.00 μB/cell
Crystal system: monoclinic

=====

Quick one: least stable of them? 1

=====

1 | Density functional theory data (SCAN) for a crystal of Sr2TaTl relaxed with PBEsol.

Structure (POSCAR):
```
Sr2TaTl
1.0
0.0000 3.8134 3.8134
3.8134 0.0000 3.8134
3.8134 3.8134 0.0000
Sr Ta Tl
2 1 1
Direct
0.0000 0.0000 0.0000
0.2500 0.2500 0.2500
0.7500 0.7500 0.7500
0.5000 0.5000 0.5000
```

Computed properties:
Density of states at the Fermi level: 3.95 states/eV per cell
Magnetization: 3.98 μB/cell
Crystal system: cubic

=====

2 | Density functional theory data (SCAN) for a crystal of Sr2TaTl relaxed with PBEsol.

Structure (POSCAR):
```
Sr2TaTl
1.0
1.7257 0.9963 11.2789
-1.7257 0.9963 11.2789
0.0000 -1.9927 11.2789
Sr Ta Tl
2 1 1
Direct
0.0000 0.0000 0.0000
0.2247 0.2247 0.2247
0.7436 0.7436 0.7436
0.4776 0.4776 0.4776
```

Computed properties:
Density of states at the Fermi level: 2.13 states/eV per cell
Magnetization: 0.00 μB/cell
Crystal system: trigonal

=====

Quick one: least stable of them? 2